[1]
# YAg12 (GGA-PBE, optimized geometry)
# energy relative to the elements	0.652	eV per atom
# energy	-2.48	eV/atom
# calculated density	6.24	Mg/m³
data_YAg12
_space_group_name_H-M_alt 'F m -3 m'
_space_group_IT_number 225
_space_group_name_Hall '-F 4 2 3'
_cell_length_a 11.376
_cell_length_b 11.376
_cell_length_c 11.376
_cell_angle_alpha 90.00
_cell_angle_beta 90.00
_cell_angle_gamma 90.00
loop_
_atom_site_label
_atom_site_type_symbol
_atom_site_fract_x
_atom_site_fract_y
_atom_site_fract_z
Y1 Y 0.000 0.000 0.000
Ag1 Ag 0.000 0.169 0.331

[2]
# Y3Ag2 (GGA-PBE, optimized geometry)
# energy relative to the elements	-0.110	eV per atom
# excess energy over the best structure of this formula in the dataset	144	meV per atom
# energy	-5.13	eV/atom
# calculated density	5.77	Mg/m³
data_Y3Ag2
_space_group_name_H-M_alt 'P -3 m 1'
_space_group_IT_number 164
_space_group_name_Hall '-P 3 2"'
_cell_length_a 5.0821
_cell_length_b 5.0821
_cell_length_c 6.2087
_cell_angle_alpha 90.00
_cell_angle_beta 90.00
_cell_angle_gamma 120.00
loop_
_atom_site_label
_atom_site_type_symbol
_atom_site_fract_x
_atom_site_fract_y
_atom_site_fract_z
Y1 Y 0.0000 0.0000 0.0000
Y2 Y 0.3333 0.6667 0.3416
Ag1 Ag 0.3333 0.6667 0.8389

[3]
# Y2Ag (GGA-PBE, optimized geometry)
# energy relative to the elements	0.035	eV per atom
# energy	-5.22	eV/atom
# calculated density	5.24	Mg/m³
data_Y2Ag
_space_group_name_H-M_alt 'F m -3 m'
_space_group_IT_number 225
_space_group_name_Hall '-F 4 2 3'
_cell_length_a 7.127
_cell_length_b 7.127
_cell_length_c 7.127
_cell_angle_alpha 90.00
_cell_angle_beta 90.00
_cell_angle_gamma 90.00
loop_
_atom_site_label
_atom_site_type_symbol
_atom_site_fract_x
_atom_site_fract_y
_atom_site_fract_z
Y1 Y 0.250 0.250 0.250
Ag1 Ag 0.000 0.000 0.000